Record 1
DFT (PBE) results for crystalline NbCoPt2 at its relaxed geometry.

```
NbCoPt2
1.0
0.000 3.138 3.138
3.138 0.000 3.138
3.138 3.138 0.000
Nb Co Pt
1 1 2
Cartesian
0.000 0.000 0.000
3.138 3.138 3.138
1.569 1.569 1.569
4.707 4.707 4.707
```

Properties
Its formation enthalpy at 0 K is -0.2101 eV per atom. As for the space group: Fm-3m.

Record 2
DFT (PBE) results for crystalline Si2W2Br at its relaxed geometry.

```
Si2W2Br
1.0
7.343 0.000 0.000
0.000 7.343 0.000
0.000 0.000 3.062
Si W Br
4 4 2
Cartesian
1.038 2.633 0.000
2.633 6.305 0.000
4.710 1.038 0.000
6.305 4.710 0.000
1.044 4.716 1.531
2.627 1.044 1.531
4.716 6.299 1.531
6.299 2.627 1.531
0.000 0.000 1.531
3.672 3.672 1.531
```

Properties
As for the space group: P4/mbm. For the formation energy without anion corrections, the calculation gives 0.365 eV/atom.

Record 3
DFT (PBE) results for crystalline NaC3Cl at its relaxed geometry.

```
NaC3Cl
1.0
4.724 0.000 0.000
0.000 4.724 0.000
0.000 0.000 4.724
Na C Cl
1 3 1
Cartesian
0.000 0.000 0.000
0.000 0.000 2.362
0.000 2.362 0.000
2.362 0.000 0.000
2.362 2.362 2.362
```

Properties
As for the space group: Pm-3m. For the formation energy without anion corrections, the calculation gives 3.956 eV/atom.

Record 4
DFT (PBE) results for crystalline Cs2CaCd3Hg12 at its relaxed geometry.

```
Cs2CaCd3Hg12
1.0
5.194 2.999 7.852
-5.194 2.999 7.852
0.000 -5.998 7.852
Cs Ca Cd Hg
2 1 3 12
Cartesian
0.000 0.000 2.396
0.000 0.000 21.161
0.000 0.000 11.778
-2.597 -1.499 7.852
-2.597 1.499 15.705
0.000 2.999 7.852
-2.518 -1.454 10.900
0.000 -1.916 6.368
-1.659 0.958 6.368
0.000 -2.908 12.656
-2.518 1.454 12.656
1.659 0.958 6.368
-1.659 -0.958 17.189
2.518 -1.454 10.900
0.000 2.908 10.900
1.659 -0.958 17.189
0.000 1.916 17.189
2.518 1.454 12.656
```

Properties
Its formation enthalpy at 0 K is -0.0535 eV per atom. As for the space group: R-3m.

Record 5
DFT (PBE) results for crystalline Th3S4 at its relaxed geometry.

```
Th3S4
1.0
2.040 1.178 13.389
-2.040 1.178 13.389
0.000 -2.356 13.389
Th S
3 4
Cartesian
0.000 0.000 0.000
0.000 0.000 3.535
0.000 0.000 36.632
0.000 0.000 8.427
0.000 0.000 15.124
0.000 0.000 25.043
0.000 0.000 31.740
```

Properties
As for the space group: R-3m. For the formation energy without anion corrections, the calculation gives -1.686 eV/atom.

Record 6
DFT (PBE) results for crystalline FeSnP2S at its relaxed geometry.

```
FeSnP2S
1.0
4.227 0.000 0.000
0.000 4.227 0.000
0.000 0.000 5.252
Fe Sn P S
1 1 2 1
Cartesian
0.000 0.000 0.000
2.114 2.114 2.626
0.000 2.114 0.000
2.114 0.000 0.000
0.000 0.000 2.626
```

Properties
As for the space group: P4/mmm. For the formation energy without anion corrections, the calculation gives 0.265 eV/atom.

Record 7
DFT (PBE) results for crystalline Pm3HoTm8 at its relaxed geometry.

```
Pm3HoTm8
1.0
-3.189 5.594 5.660
3.189 -5.594 5.660
3.189 5.594 -5.660
Pm Ho Tm
3 1 8
Cartesian
0.000 0.000 0.000
3.189 0.000 2.862
0.000 5.594 2.799
0.000 0.000 5.660
3.189 3.701 -2.823
1.584 2.843 0.000
1.605 -2.752 5.660
0.000 1.893 2.837
3.189 3.701 2.823
1.584 8.346 0.000
1.605 2.752 5.660
0.000 1.893 8.484
```

Properties
Its formation enthalpy at 0 K is 0.2995 eV per atom. As for the space group: Immm.

Record 8
DFT (PBE) results for crystalline NiAuBr2 at its relaxed geometry.

```
NiAuBr2
1.0
1.885 1.088 7.806
-1.885 1.088 7.806
0.000 -2.176 7.806
Ni Au Br
1 1 2
Cartesian
0.000 0.000 0.000
0.000 0.000 11.708
0.000 0.000 9.193
0.000 0.000 14.224
```

Properties
As for the space group: R-3m. For the formation energy without anion corrections, the calculation gives 0.080 eV/atom.